P | K3Be | the Alexandria database | PBE-GGA | optimized geometry; calculated volume = 202.8 Å³ per cell; SG = P4/mmm, No. 123
1.0
-2.785 -0.628 3.116
-1.712 -3.194 -2.175
7.197 -7.243 4.971
Be K
1 3
direct
0.000 0.000 0.000
0.500 0.500 0.170
0.500 0.500 0.830
0.000 0.000 0.500

---

Q | K3Be | the Alexandria database | PBE-GGA | optimized geometry; calculated volume = 197.9 Å³ per cell; SG = R-3m, No. 166
1.0
7.435 -0.038 -0.106
-3.273 6.676 -0.106
-3.273 -5.220 4.163
K Be
3 1
direct
0.500 0.500 0.000
0.000 0.500 0.500
0.500 0.000 0.500
0.000 0.000 0.000

---

Least stable: Q

---

P | K3Be | the Alexandria database | PBE-GGA | optimized geometry; calculated volume = 208.4 Å³ per cell; SG = Immm, No. 71
1.0
9.014 0.411 -0.012
5.702 6.993 0.012
-6.753 -4.905 3.429
K Be
3 1
direct
0.668 0.668 0.000
0.000 0.500 0.500
0.332 0.332 0.000
0.500 0.000 0.500

---

Q | K3Be | the Alexandria database | PBE-GGA | optimized geometry; calculated volume = 741.9 Å³ per cell; SG = P6_3/mmc, No. 194
1.0
-5.013 2.827 5.892
7.325 -3.188 2.005
5.256 11.438 -1.016
K Be
12 4
direct
0.152 0.848 0.750
0.000 0.500 0.000
0.500 0.500 0.500
0.500 0.500 0.000
0.848 0.696 0.250
0.500 0.000 0.500
0.848 0.152 0.250
0.500 0.000 0.000
0.000 0.500 0.500
0.152 0.304 0.750
0.304 0.152 0.250
0.696 0.848 0.750
0.000 0.000 0.000
0.333 0.667 0.250
0.000 0.000 0.500
0.667 0.333 0.750

---

Least stable: Q

---

P | K3Be | the Alexandria database | PBE-GGA | optimized geometry; calculated volume = 226.6 Å³ per cell; SG = R-3m, No. 166
1.0
11.969 -0.024 -0.014
11.040 4.623 -0.014
11.040 2.206 4.062
Be K
1 3
direct
0.000 0.000 0.000
0.723 0.723 0.723
0.500 0.500 0.500
0.277 0.277 0.277

---

Q | K3Be | the Alexandria database | PBE-GGA | optimized geometry; calculated volume = 186.4 Å³ per cell; SG = Pm-3m, No. 221
1.0
-4.414 3.456 1.093
-2.975 -4.440 2.013
2.069 0.987 5.234
K Be
3 1
direct
0.000 0.500 0.500
0.500 0.000 0.500
0.500 0.500 0.000
0.000 0.000 0.000

---

Least stable: Q